# 1
YZrCo2: relaxed, GGA-PBEsol.

Unit cell a=3.621 b=3.662 c=5.506 alpha=90.00 beta=109.19 gamma=90.00
Sites, in units of the cell vectors:
Y1 0.476 0.000 0.952
Co1 0.062 0.500 0.124
Zr1 0.760 0.500 0.521
Co2 0.202 0.000 0.403

energy of formation from the pure elements	-82	kJ/mol of formula units
space group	Amm2, No. 38
N(E_F)	2.846	states/eV/f.u.

---

# 2
Tl2SeCl: relaxed, GGA-PBEsol.

Unit cell a=4.069 b=4.138 c=7.052 alpha=90.00 beta=106.77 gamma=90.00
Sites, in units of the cell vectors:
Se1 0.743 0.500 0.487
Cl1 0.465 0.000 0.930
Tl1 0.032 0.500 0.065
Tl2 0.260 0.000 0.519

formation energy (no corrections)	-0.527	eV/atom
space group	Amm2, No. 38
energy relative to the lowest polymorph listed for this composition	0	meV/atom
N(E_F)	0.457	states/eV/f.u.

---

# 3
RbMn3Au: relaxed, GGA-PBEsol.

Unit cell a=4.668 b=4.668 c=4.668 alpha=90.00 beta=90.00 gamma=90.00
Site moments in Bohr magnetons follow the coordinates.
Sites, in units of the cell vectors:
Mn1 0.000 0.500 0.000  3.56
Mn2 0.000 0.000 0.500  3.56
Mn3 0.500 0.000 0.000  3.56
Au1 0.500 0.500 0.500  0.05
Rb1 0.000 0.000 0.000  0.00

energy of formation from the pure elements	1179	kJ/mol of formula units
space group	Pm-3m, No. 221
N(E_F)	3.443	states/eV/f.u.